Entry from OQMD via LeMat-Bulk: crystalline ErGeAu at its relaxed geometry (PBE).

Values from the calculation:
E_tot, eV/atom: -4.955
SG: P-62m, No. 189
Total moment, μB per formula unit: 0.000
V, Å³ per cell: 182.8
Calculated density, kg/m3: 11905

a b c (Å): 7.1330 7.1330 4.1489
angles (deg): 90.00 90.00 120.00
Atoms (fractional coordinates):
1 Er 0.0000 0.5866 0.0000
2 Er 0.4134 0.4134 0.0000
3 Er 0.5866 0.0000 0.0000
4 Ge 0.0000 0.0000 0.0000
5 Ge 0.3333 0.6667 0.5000
6 Ge 0.6667 0.3333 0.5000
7 Au 0.0000 0.2618 0.5000
8 Au 0.2618 0.0000 0.5000
9 Au 0.7382 0.7382 0.5000